[1]
The following is a PBE calculation of a relaxed Cd12Hg6Pb crystal, from Alexandria via LeMat-Bulk.

Cell and atoms, written as extended XYZ:
```
19
Lattice="7.8235 -0.2856 0.3385 0.3116 7.8225 0.3385 -0.3082 -0.2856 7.8248" Properties=species:S:1:pos:R:3 pbc="T T T"
Cd 3.5851 5.7718 4.6552
Cd 6.1223 5.0369 0.5978
Hg 6.3715 6.8393 3.5345
Cd 0.1429 5.7206 5.5195
Hg 4.9072 1.4198 0.9300
Hg 1.4554 0.4121 4.9672
Cd 4.1419 3.1347 6.3918
Hg 2.9197 5.8316 7.5717
Hg 0.7791 4.7847 1.8603
Cd 4.2418 1.4796 3.8465
Hg 7.0478 2.4667 6.6414
Cd 7.6840 1.5308 2.9822
Cd 6.0860 3.8910 3.9570
Cd 1.7408 3.3605 4.5447
Cd 1.7046 2.2146 7.9039
Pb 0.0000 0.0000 0.0000
Cd 5.0291 -0.2936 6.1508
Cd 2.7978 7.5450 2.3509
Cd 3.6849 4.1167 2.1099
```

Calculated values
density	9.52	g cm⁻³
total magnetic moment	0.000	μB/cell
DOS(E_F)	6.44	states/eV/cell
E above lowest polymorph	0.0	meV/atom
symmetry	R-3, No. 148
E_form	52	meV per atom


[2]
The following is a PBE calculation of a relaxed CdHgPb2 crystal, from Alexandria via LeMat-Bulk.

Cell and atoms, written as extended XYZ:
```
4
Lattice="3.5769 0.0000 0.0000 0.0000 3.5769 0.0000 0.0000 0.0000 8.7082" Properties=species:S:1:pos:R:3 pbc="T T T"
Cd 1.7885 1.7885 2.1771
Pb 0.0000 0.0000 0.0577
Pb 0.0000 0.0000 4.2964
Hg 1.7885 1.7885 6.5312
```

Calculated values
density	10.84	g cm⁻³
total magnetic moment	0.000	μB/cell
DOS(E_F)	1.45	states/eV/cell
E above lowest polymorph	12.7	meV/atom
symmetry	P4/mmm, No. 123
E_form	35	meV per atom